1.
Material: TmSc3Pb2C2
Method: DFT, PBE
State: optimized geometry

Cell and atoms, written as POSCAR:
```
TmSc3Pb2C2
1.0
3.4497 0.0000 0.0000
-1.7248 2.9875 0.0000
0.0000 0.0000 15.3164
Tm Sc Pb C
1 3 2 2
direct
0.0000 0.0000 0.0000
0.0000 0.0000 0.6575
0.6667 0.3333 0.1640
0.6667 0.3333 0.5024
0.0000 0.0000 0.3333
0.6667 0.3333 0.8241
0.3333 0.6667 0.0864
0.3333 0.6667 0.5801
```

Summary:
E_tot in eV per atom: -6.745
Crystal system: trigonal

***

2.
Material: NdP3O9
Method: DFT, PBE
State: optimized geometry

Cell and atoms, written as POSCAR:
```
NdP3O9
1.0
4.2552 -5.5656 0.0000
4.2552 5.5656 0.0000
0.0000 0.0000 7.2143
Nd P O
2 6 18
direct
0.1237 0.1237 0.0000
0.8763 0.8763 0.5000
0.2503 0.2503 0.5000
0.3140 0.6641 0.9566
0.3359 0.6860 0.5434
0.6641 0.3140 0.0434
0.6860 0.3359 0.4566
0.7497 0.7497 0.0000
0.1278 0.1748 0.6698
0.1748 0.1278 0.3302
0.1752 0.7880 0.5405
0.2120 0.8248 0.9595
0.2163 0.4713 0.0450
0.2504 0.4705 0.4505
0.3784 0.6216 0.7500
0.4705 0.2504 0.5495
0.4713 0.2163 0.9550
0.5287 0.7837 0.4550
0.5295 0.7496 0.0495
0.6216 0.3784 0.2500
0.7496 0.5295 0.9505
0.7837 0.5287 0.5450
0.7880 0.1752 0.4595
0.8248 0.2120 0.0405
0.8252 0.8722 0.8302
0.8722 0.8252 0.1698
```

Summary:
E_tot in eV per atom: -7.540
Crystal system: orthorhombic